Below is an optimized crystal structure of PmCrSb, with properties calculated at the PBE-GGA level.

Unit cell a=4.3464 b=8.6402 c=8.6402 alpha=90.00 beta=90.00 gamma=90.00
With the nearest neighbours (Å) after each atom.
Fractional positions:
Pm1 0.5000 0.7635 0.3775  4 Sb 3.09-3.17, 1 Cr 3.20
Pm2 0.5000 0.2365 0.6225  4 Sb 3.09-3.17, 1 Cr 3.20
Pm3 0.0000 0.3775 0.2365  4 Sb 3.09-3.17, 1 Cr 3.20
Pm4 0.0000 0.6225 0.7635  4 Sb 3.09-3.17, 1 Cr 3.20
Sb1 0.5000 0.8848 0.7141  4 Cr 2.71-2.99
Sb2 0.0000 0.2859 0.8848  4 Cr 2.71-2.99
Sb3 0.0000 0.7141 0.1152  4 Cr 2.71-2.99
Sb4 0.5000 0.1152 0.2859  4 Cr 2.71-2.99
Cr1 0.5000 0.1152 0.9724  1 Cr 2.05
Cr2 0.0000 0.0276 0.1152  1 Cr 2.05
Cr3 0.0000 0.9724 0.8848  1 Cr 2.05
Cr4 0.5000 0.8848 0.0276  1 Cr 2.05

Values from the calculation:
Density of states at the Fermi level   0.93 states/eV/atom
Crystal system   tetragonal
Formation energy (no corrections)   -249 meV per atom

Below is an optimized crystal structure of Ca2LaCu2, with properties calculated at the PBE-GGA level.

Unit cell a=5.2432 b=5.2432 c=6.3797 alpha=65.74 beta=65.74 gamma=90.00
With the nearest neighbours (Å) after each atom.
Fractional positions:
Ca1 0.3432 0.3432 0.3136  4 Cu 2.79
Ca2 0.6568 0.6568 0.6864  4 Cu 2.79
Cu1 0.7500 0.2500 0.5000  4 Ca 2.79
Cu2 0.2500 0.7500 0.5000  4 Ca 2.79
La1 0.0000 0.0000 0.0000  2 Ca 3.56, 8 Cu 3.69

Values from the calculation:
Density of states at the Fermi level   1.09 states/eV/atom
Crystal system   tetragonal
Energy above the most stable polymorph in this dataset   286 meV per atom
Energy of formation   207 meV per atom

Below is an optimized crystal structure of Tl2IBr5, with properties calculated at the PBE-GGA level.

Unit cell a=9.2457 b=8.3031 c=8.5105 alpha=132.69 beta=122.90 gamma=90.00
With the nearest neighbours (Å) after each atom.
Fractional positions:
Tl1 0.2881 0.9173 0.5762  3 Br 3.08-3.41
Tl2 0.7809 0.1516 0.5618  3 Br 3.08-3.41
I1 0.0346 0.0347 0.0693  4 Br 2.75
Br1 0.8282 0.2740 0.0740  1 I 2.75
Br2 0.2457 0.2740 0.0739  1 I 2.75
Br3 0.8235 0.7953 0.0646  1 I 2.75
Br4 0.2411 0.7953 0.0646  1 I 2.75
Br5 0.5348 0.5347 0.0697  2 Tl 3.08

Values from the calculation:
Crystal system   monoclinic
Formation energy (no corrections)   -437 meV per atom
Energy above the most stable polymorph in this dataset   28 meV per atom

Below is an optimized crystal structure of Er2Tm3Th, with properties calculated at the PBE-GGA level.

Unit cell a=4.9776 b=9.3002 c=16.8549 alpha=29.90 beta=81.51 gamma=74.48
With the nearest neighbours (Å) after each atom.
Fractional positions:
Er1 0.9164 0.3765 0.7908  8 Tm 3.51-3.53, 2 Th 3.52, 2 Er 3.53
Er2 0.0836 0.6235 0.2092  8 Tm 3.51-3.53, 2 Th 3.52, 2 Er 3.53
Er3 0.7480 0.6317 0.8722  8 Tm 3.50-3.55, 1 Th 3.51, 3 Er 3.53
Er4 0.2520 0.3683 0.1278  8 Tm 3.50-3.55, 1 Th 3.51, 3 Er 3.53
Tm1 0.0829 0.1270 0.7072  4 Th 3.49-3.51, 4 Tm 3.50-3.52, 4 Er 3.50-3.55
Tm2 0.9171 0.8730 0.2928  4 Th 3.49-3.51, 4 Tm 3.50-3.52, 4 Er 3.50-3.55
Tm3 0.5824 0.8787 0.9565  1 Th 3.48, 7 Er 3.50-3.55, 4 Tm 3.51-3.53
Tm4 0.4176 0.1213 0.0435  1 Th 3.48, 7 Er 3.50-3.55, 4 Tm 3.51-3.53
Tm5 0.7497 0.1257 0.3749  5 Er 3.51, 4 Tm 3.51-3.53, 3 Th 3.54
Tm6 0.2503 0.8743 0.6251  5 Er 3.51, 4 Tm 3.51-3.53, 3 Th 3.54
Th1 0.4187 0.6193 0.5432  1 Th 3.46, 8 Tm 3.48-3.54, 3 Er 3.51-3.52
Th2 0.5813 0.3807 0.4568  1 Th 3.46, 8 Tm 3.48-3.54, 3 Er 3.51-3.52

Values from the calculation:
Density of states at the Fermi level   1.57 states/eV/atom
Crystal system   monoclinic
Energy above the most stable polymorph in this dataset   0 meV per atom
Energy of formation   34 meV per atom

Below is an optimized crystal structure of Ac3Sn2Pt, with properties calculated at the PBE-GGA level.

Unit cell a=6.7445 b=9.0539 c=7.7274 alpha=106.59 beta=115.87 gamma=90.00
With the nearest neighbours (Å) after each atom.
Fractional positions:
Ac1 0.3242 0.2500 0.0000  1 Pt 3.15, 2 Sn 3.30
Ac2 0.6758 0.7500 0.0000  1 Pt 3.15, 2 Sn 3.30
Ac3 0.0521 0.1381 0.3437  1 Pt 2.88
Ac4 0.7084 0.3619 0.6563  1 Pt 2.88
Ac5 0.2916 0.6381 0.3437  1 Pt 2.88
Ac6 0.9479 0.8619 0.6563  1 Pt 2.88
Sn1 0.7907 0.4964 0.2948  1 Pt 2.89, 1 Sn 3.18
Sn2 0.5041 0.9964 0.2948  1 Pt 2.89, 1 Sn 3.18
Sn3 0.4959 0.0036 0.7052  1 Pt 2.89, 1 Sn 3.18
Sn4 0.2093 0.5036 0.7052  1 Pt 2.89, 1 Sn 3.18
Pt1 0.1423 0.7500 0.0000  3 Ac 2.88-3.15, 2 Sn 2.89
Pt2 0.8577 0.2500 0.0000  3 Ac 2.88-3.15, 2 Sn 2.89

Values from the calculation:
Density of states at the Fermi level   0.83 states/eV/atom
Crystal system   monoclinic
Energy above the most stable polymorph in this dataset   140 meV per atom
Energy of formation   -705 meV per atom

Below is an optimized crystal structure of Na5TlCl8, with properties calculated at the PBE-GGA level.

Unit cell a=7.9764 b=7.9764 c=7.9764 alpha=105.35 beta=105.35 gamma=118.08
With the nearest neighbours (Å) after each atom.
Fractional positions:
Na1 0.8536 0.3563 0.9376  4 Cl 2.71-2.87
Na2 0.6437 0.5813 0.4973  4 Cl 2.71-2.87
Na3 0.4187 0.9160 0.0624  4 Cl 2.71-2.87
Na4 0.5000 0.5000 0.0000  4 Cl 2.69
Na5 0.0840 0.1464 0.5027  4 Cl 2.71-2.87
Tl1 0.2500 0.7500 0.5000  4 Cl 2.52
Cl1 0.1251 0.8297 0.2267  1 Tl 2.52
Cl2 0.1703 0.3970 0.2953  1 Tl 2.52
Cl3 0.6539 0.8521 0.3209  4 Na 2.69-2.86
Cl4 0.1479 0.4688 0.8018  4 Na 2.69-2.86
Cl5 0.6670 0.3461 0.1982  4 Na 2.69-2.86
Cl6 0.1016 0.8749 0.7047  1 Tl 2.52
Cl7 0.6030 0.8984 0.7733  1 Tl 2.52
Cl8 0.5312 0.3330 0.6791  4 Na 2.69-2.86

Values from the calculation:
Crystal system   tetragonal
Formation energy (no corrections)   -1430 meV per atom

Summary of spin magnetization in μB/f.u.
0.00 0.00 0.00 0.00 0.00 0.00
(order as listed above)